12
Lattice="3.440 -5.960 0.000 3.440 5.960 0.000 -2.290 0.000 6.534" Properties=species:S:1:pos:R:3 comment="Pm3HoPu2S6 | the Alexandria database | PBE-GGA | optimized geometry" e_form_raw_kj_per_mol_atoms=-188.54 dft_energy_ev_per_atom=-7.976 sg=C2/m pbc="T T T"
Pm 0.000 0.000 0.000
Pm 3.440 1.997 0.000
Pm 3.440 -1.997 0.000
Ho 2.296 0.000 3.267
Pu 2.296 3.976 3.267
Pu 2.296 -3.976 3.267
S 1.156 1.973 1.698
S 0.020 0.000 4.848
S 1.156 -1.973 1.698
S 3.435 1.973 4.836
S 4.571 0.000 1.686
S 3.435 -1.973 4.836

=====

16
Lattice="3.958 2.285 6.512 -3.958 2.285 6.512 0.000 -4.570 6.512" Properties=species:S:1:pos:R:3 comment="Pm4Ho3PuS8 | the Alexandria database | PBE-GGA | optimized geometry" e_form_raw_kj_per_mol_atoms=-192.10 dft_energy_ev_per_atom=-6.996 sg=R-3m pbc="T T T"
Pm 0.000 0.000 0.000
Pm -1.979 -1.142 6.512
Pm -1.979 1.142 13.024
Pm 0.000 2.285 6.512
Ho -3.958 0.000 9.768
Ho -1.979 1.142 3.256
Ho 1.979 1.142 3.256
Pu 0.000 0.000 9.768
S -1.994 -1.151 11.319
S 0.000 0.000 4.792
S 0.000 -2.303 8.217
S -1.994 1.151 8.217
S 1.994 -1.151 11.319
S 0.000 2.303 11.319
S 0.000 0.000 14.744
S 1.994 1.151 8.217

=====

12
Lattice="8.666 -1.972 0.000 8.666 1.972 0.000 -1.882 0.000 7.763" Properties=species:S:1:pos:R:3 comment="Pm3Ho2PuS6 | the Alexandria database | PBE-GGA | optimized geometry" e_form_raw_kj_per_mol_atoms=-192.14 dft_energy_ev_per_atom=-7.200 sg=C2/m pbc="T T T"
Pm 0.000 0.000 0.000
Pm 4.554 0.000 5.160
Pm 10.897 0.000 2.603
Ho 5.495 0.000 1.331
Ho 9.955 0.000 6.432
Pu -0.941 0.000 3.881
S 1.764 0.000 4.598
S 2.815 0.000 0.586
S 8.138 0.000 1.967
S 7.313 0.000 5.796
S 12.636 0.000 7.177
S 13.687 0.000 3.165

=====

12
Lattice="3.396 -5.886 0.000 3.396 5.886 0.000 -2.262 0.000 6.460" Properties=species:S:1:pos:R:3 comment="PmHo3Pu2S6 | the Alexandria database | PBE-GGA | optimized geometry" e_form_raw_kj_per_mol_atoms=-187.40 dft_energy_ev_per_atom=-7.935 sg=C2/m pbc="T T T"
Pm 0.000 0.000 0.000
Ho 2.265 3.940 3.230
Ho 2.265 0.000 3.230
Ho 2.265 -3.940 3.230
Pu 3.396 1.963 0.000
Pu 3.396 -1.963 0.000
S 1.148 1.988 1.669
S 0.032 0.000 4.793
S 1.148 -1.988 1.669
S 3.382 1.988 4.791
S 4.498 0.000 1.667
S 3.382 -1.988 4.791

=====

8
Lattice="6.884 0.000 0.000 0.000 3.958 0.000 -2.269 0.000 6.526" Properties=species:S:1:pos:R:3 comment="Pm2HoPuS4 | the Alexandria database | PBE-GGA | optimized geometry" e_form_raw_kj_per_mol_atoms=-190.19 dft_energy_ev_per_atom=-7.586 sg=P2/m pbc="T T T"
Pm 0.000 0.000 0.000
Pm 3.442 1.979 0.000
Ho -1.135 1.979 3.263
Pu 2.307 0.000 3.263
S -0.001 0.000 4.821
S 1.138 1.979 1.694
S 3.477 1.979 4.833
S 4.616 0.000 1.705

=====

8
Lattice="7.690 0.000 0.000 0.000 4.453 0.000 -2.563 0.000 7.254" Properties=species:S:1:pos:R:3 comment="Pm2HoPuSb4 | the Alexandria database | PBE-GGA | optimized geometry" e_form_raw_kj_per_mol_atoms=-97.62 dft_energy_ev_per_atom=-6.624 sg=P2/m pbc="T T T"
Pm 0.000 0.000 0.000
Pm 3.845 2.227 0.000
Ho -1.282 2.227 3.627
Pu 2.564 0.000 3.627
Sb -0.007 0.000 5.385
Sb 1.275 2.227 1.864
Sb 3.853 2.227 5.390
Sb 5.134 0.000 1.869

=====

8
Lattice="7.639 0.000 0.000 0.000 4.421 0.000 -2.552 0.000 7.211" Properties=species:S:1:pos:R:3 comment="PmHo2PuSb4 | the Alexandria database | PBE-GGA | optimized geometry" e_form_raw_kj_per_mol_atoms=-95.95 dft_energy_ev_per_atom=-6.585 sg=P2/m pbc="T T T"
Pm 0.000 0.000 0.000
Ho 2.543 0.000 3.605
Ho 3.819 2.210 0.000
Pu -1.276 2.210 3.605
Sb 0.033 0.000 5.401
Sb 1.308 2.210 1.836
Sb 3.779 2.210 5.374
Sb 5.054 0.000 1.810

=====

12
Lattice="9.053 -2.066 0.000 9.053 2.066 0.000 -1.972 0.000 8.083" Properties=species:S:1:pos:R:3 comment="Pm2HoPu3Se6 | the Alexandria database | PBE-GGA | optimized geometry" e_form_raw_kj_per_mol_atoms=-162.70 dft_energy_ev_per_atom=-8.185 sg=C2/m pbc="T T T"
Pm 2.365 0.000 2.710
Pm 13.769 0.000 5.373
Ho 9.053 0.000 0.000
Pu 1.404 0.000 6.741
Pu 8.067 0.000 4.041
Pu 14.730 0.000 1.341
Se -1.461 0.000 6.113
Se 5.247 0.000 3.338
Se 4.266 0.000 7.442
Se 11.867 0.000 0.640
Se 10.887 0.000 4.745
Se 17.594 0.000 1.970

=====

8
Lattice="7.122 0.000 0.000 0.000 4.087 0.000 -2.338 0.000 6.758" Properties=species:S:1:pos:R:3 comment="PmHo2PuSe4 | the Alexandria database | PBE-GGA | optimized geometry" e_form_raw_kj_per_mol_atoms=-166.55 dft_energy_ev_per_atom=-6.998 sg=P2/m pbc="T T T"
Pm 0.000 0.000 0.000
Ho -1.169 2.044 3.379
Ho 2.392 0.000 3.379
Pu 3.561 2.044 0.000
Se 0.041 0.000 5.008
Se 1.211 2.044 1.762
Se 3.573 2.044 4.996
Se 4.743 0.000 1.750

=====

15
Lattice="4.154 2.399 6.803 -4.154 2.399 6.803 0.000 -4.797 6.803" Properties=species:S:1:pos:R:3 comment="Pm3HoPu3Se8 | the Alexandria database | PBE-GGA | optimized geometry" e_form_raw_kj_per_mol_atoms=-168.26 dft_energy_ev_per_atom=-7.724 sg=R-3m pbc="T T T"
Pm -2.077 -1.199 6.803
Pm -2.077 1.199 13.605
Pm 0.000 2.399 6.803
Ho 0.000 0.000 10.204
Pu -4.154 0.000 10.204
Pu -2.077 1.199 3.401
Pu 2.077 1.199 3.401
Se 0.000 0.000 5.062
Se -2.058 -1.188 11.867
Se 0.000 -2.376 8.541
Se -2.058 1.188 8.541
Se 2.058 -1.188 11.867
Se 0.000 2.376 11.867
Se 2.058 1.188 8.541
Se 0.000 0.000 15.346

=====

9
Lattice="5.071 0.000 0.000 0.000 5.071 0.000 0.000 0.000 10.879" Properties=species:S:1:pos:R:3 comment="Pm2HoPuSe5 | the Alexandria database | PBE-GGA | optimized geometry" e_form_raw_kj_per_mol_atoms=-114.62 dft_energy_ev_per_atom=-6.281 sg=P4/mmm pbc="T T T"
Pm 0.000 0.000 2.307
Pm 0.000 0.000 8.572
Ho 2.535 2.535 0.000
Pu 2.535 2.535 5.440
Se 0.000 0.000 5.440
Se 0.000 2.535 0.000
Se 2.535 0.000 0.000
Se 2.535 2.535 2.730
Se 2.535 2.535 8.149

=====

12
Lattice="3.542 -6.142 0.000 3.542 6.142 0.000 -2.365 0.000 6.761" Properties=species:S:1:pos:R:3 comment="PmHo3Pu2Se6 | the Alexandria database | PBE-GGA | optimized geometry" e_form_raw_kj_per_mol_atoms=-164.46 dft_energy_ev_per_atom=-7.376 sg=C2/m pbc="T T T"
Pm 0.000 0.000 0.000
Ho 2.359 4.112 3.380
Ho 2.359 0.000 3.380
Ho 2.359 -4.112 3.380
Pu 3.542 2.050 0.000
Pu 3.542 -2.050 0.000
Se 1.192 2.068 1.751
Se 0.022 0.000 5.013
Se 1.192 -2.068 1.751
Se 3.526 2.068 5.010
Se 4.697 0.000 1.748
Se 3.526 -2.068 5.010

=====

12
Lattice="9.010 -2.052 0.000 9.010 2.052 0.000 -1.988 0.000 8.039" Properties=species:S:1:pos:R:3 comment="PmHo2Pu3Se6 | the Alexandria database | PBE-GGA | optimized geometry" e_form_raw_kj_per_mol_atoms=-161.26 dft_energy_ev_per_atom=-8.155 sg=C2/m pbc="T T T"
Pm 0.000 0.000 0.000
Ho 4.685 0.000 5.371
Ho 11.346 0.000 2.668
Pu -0.994 0.000 4.020
Pu 5.708 0.000 1.342
Pu 10.323 0.000 6.697
Se 2.864 0.000 0.718
Se 1.886 0.000 4.654
Se 7.485 0.000 5.989
Se 8.546 0.000 2.050
Se 14.145 0.000 3.385
Se 13.167 0.000 7.321

=====

12
Lattice="3.088 -5.352 0.000 3.088 5.352 0.000 -2.064 0.000 11.532" Properties=species:S:1:pos:R:3 comment="Pm2Sm3Ho6Pu | the Alexandria database | PBE-GGA | optimized geometry" ef_mev_per_atom=43 dft_energy_ev_per_atom=-5.412 sg=C2/m pbc="T T T"
Pm 3.088 3.569 0.000
Pm 3.088 -3.569 0.000
Sm -1.032 0.000 5.766
Sm 2.056 1.788 5.766
Sm 2.056 -1.788 5.766
Ho 0.010 1.760 8.673
Ho 1.054 0.000 2.860
Ho 0.010 -1.760 8.673
Ho 4.101 1.760 2.859
Ho 3.057 0.000 8.672
Ho 4.101 -1.760 2.859
Pu 3.088 0.000 0.000

=====

12
Lattice="3.111 -5.394 0.000 3.111 5.394 0.000 -2.088 0.000 11.662" Properties=species:S:1:pos:R:3 comment="Pm2Sm6Ho3Pu | the Alexandria database | PBE-GGA | optimized geometry" ef_mev_per_atom=51 dft_energy_ev_per_atom=-5.439 sg=C2/m pbc="T T T"
Pm 3.111 3.597 0.000
Pm 3.111 -3.597 0.000
Sm 0.002 1.778 8.734
Sm 1.054 0.000 2.928
Sm 0.002 -1.778 8.734
Sm 4.132 1.778 2.928
Sm 3.080 0.000 8.734
Sm 4.132 -1.778 2.928
Ho -1.044 0.000 5.831
Ho 2.067 1.797 5.831
Ho 2.067 -1.797 5.831
Pu 3.111 0.000 0.000

=====

16
Lattice="7.992 0.000 0.000 0.000 7.992 0.000 0.000 0.000 7.992" Properties=species:S:1:pos:R:3 comment="PmSmHoPu | the Alexandria database | PBE-GGA | optimized geometry" ef_mev_per_atom=211 dft_energy_ev_per_atom=-6.884 sg=F-43m pbc="T T T"
Pm 0.000 0.000 0.000
Pm 0.000 3.996 3.996
Pm 3.996 0.000 3.996
Pm 3.996 3.996 0.000
Sm 0.000 0.000 3.996
Sm 0.000 3.996 0.000
Sm 3.996 0.000 0.000
Sm 3.996 3.996 3.996
Ho 1.998 1.998 5.994
Ho 1.998 5.994 1.998
Ho 5.994 1.998 1.998
Ho 5.994 5.994 5.994
Pu 1.998 1.998 1.998
Pu 1.998 5.994 5.994
Pu 5.994 1.998 5.994
Pu 5.994 5.994 1.998

=====

16
Lattice="7.700 0.000 0.000 0.000 7.700 0.000 0.000 0.000 7.700" Properties=species:S:1:pos:R:3 comment="PmHoPuSn | the Alexandria database | PBE-GGA | optimized geometry" ef_mev_per_atom=-128 dft_energy_ev_per_atom=-7.043 sg=F-43m pbc="T T T"
Pm 0.000 0.000 0.000
Pm 0.000 3.850 3.850
Pm 3.850 0.000 3.850
Pm 3.850 3.850 0.000
Ho 1.925 1.925 5.775
Ho 1.925 5.775 1.925
Ho 5.775 1.925 1.925
Ho 5.775 5.775 5.775
Pu 0.000 0.000 3.850
Pu 0.000 3.850 0.000
Pu 3.850 0.000 0.000
Pu 3.850 3.850 3.850
Sn 1.925 1.925 1.925
Sn 1.925 5.775 5.775
Sn 5.775 1.925 5.775
Sn 5.775 5.775 1.925

=====

12
Lattice="3.078 -5.337 0.000 3.078 5.337 0.000 -2.065 0.000 11.571" Properties=species:S:1:pos:R:3 comment="Tb6Pm2Ho3Pu | the Alexandria database | PBE-GGA | optimized geometry" ef_mev_per_atom=47 dft_energy_ev_per_atom=-5.398 sg=C2/m pbc="T T T"
Tb -0.024 1.758 8.688
Tb 1.000 0.000 2.881
Tb -0.024 -1.758 8.688
Tb 4.114 1.758 2.883
Tb 3.090 0.000 8.690
Tb 4.114 -1.758 2.883
Pm 2.045 1.777 5.786
Pm 2.045 -1.777 5.786
Ho 3.078 3.557 0.000
Ho 3.078 0.000 0.000
Ho 3.078 -3.557 0.000
Pu -1.033 0.000 5.786

=====

12
Lattice="3.113 -5.395 0.000 3.113 5.395 0.000 -2.081 0.000 11.626" Properties=species:S:1:pos:R:3 comment="Tb3Pm6Ho2Pu | the Alexandria database | PBE-GGA | optimized geometry" ef_mev_per_atom=45 dft_energy_ev_per_atom=-5.445 sg=C2/m pbc="T T T"
Tb 0.000 0.000 0.000
Tb 3.113 1.799 0.000
Tb 3.113 -1.799 0.000
Pm 1.049 1.780 2.937
Pm 0.016 0.000 8.688
Pm 1.049 -1.780 2.937
Pm 3.097 1.780 8.690
Pm 4.129 0.000 2.939
Pm 3.097 -1.780 8.690
Ho 2.073 3.598 5.813
Ho 2.073 -3.598 5.813
Pu 2.073 0.000 5.813

=====

12
Lattice="3.078 -5.333 0.000 3.078 5.333 0.000 -2.056 0.000 11.518" Properties=species:S:1:pos:R:3 comment="Tb2Pm3Ho6Pu | the Alexandria database | PBE-GGA | optimized geometry" ef_mev_per_atom=42 dft_energy_ev_per_atom=-5.401 sg=C2/m pbc="T T T"
Tb 3.078 3.556 0.000
Tb 3.078 -3.556 0.000
Pm -1.028 0.000 5.759
Pm 2.050 1.783 5.759
Pm 2.050 -1.783 5.759
Ho 0.010 1.755 8.687
Ho 1.050 0.000 2.832
Ho 0.010 -1.755 8.687
Ho 4.090 1.755 2.831
Ho 3.049 0.000 8.686
Ho 4.090 -1.755 2.831
Pu 3.078 0.000 0.000